Material: CeTiAl2
Method: DFT, PBE
State: optimized geometry

Values from the calculation:
Symmetry: No. 123

abc: 2.987 2.987 8.521
angles: 90.00 90.00 90.00
Fractional coordinates of all 4 atoms:
Ti 0.500 0.500 0.000
Ce 0.500 0.500 0.500
Al 0.000 0.000 0.783
Al 0.000 0.000 0.217

---

Material: Mg6Zn2Pt
Method: DFT, PBE
State: optimized geometry

Values from the calculation:
Symmetry: No. 12

abc: 4.699 4.723 8.775
angles: 89.60 90.00 119.83
Fractional coordinates of all 9 atoms:
Mg 0.667 0.333 0.944
Mg 0.000 0.000 0.196
Mg 0.334 0.667 0.413
Mg 0.666 0.333 0.587
Mg 0.000 0.000 0.804
Mg 0.333 0.667 0.056
Zn 0.333 0.666 0.737
Zn 0.667 0.334 0.263
Pt 0.000 0.000 0.500

---

no.,final energy (eV/atom),formation energy from the elements (eV per atom)
1,-5.6752,-0.3467
2,-2.2434,-0.2260